A plane-wave DFT calculation with PBE was carried out for a relaxed structure of SiPtSe2.

Calculated values
For the density of states at the Fermi level, the calculation gives 1.987 states/eV per cell. Its uncorrected formation energy is 355 meV/atom. For the magnetization, the calculation gives 0.0 μB per formula unit.

Unit cell a=4.755 b=4.755 c=3.129 alpha=90.00 beta=90.00 gamma=90.00
Atoms (fractional coordinates):
Si  0.000  0.000  0.000
Pt  0.500  0.500  0.000
Se  0.000  0.500  0.500
Se  0.500  0.000  0.500